A plane-wave DFT calculation with PBE-GGA was carried out for a relaxed structure of LiSmY2.

Geometry as CIF:
```
data_LiSmY2
_cell_length_a 3.4959
_cell_length_b 3.4959
_cell_length_c 36.7358
_cell_angle_alpha 90.00
_cell_angle_beta 90.00
_cell_angle_gamma 120.00
_space_group_name_H-M_alt 'R -3 m'
_space_group_IT_number 166
_space_group_name_Hall '-R 3 2"'
loop_
_atom_site_label
_atom_site_type_symbol
_atom_site_fract_x
_atom_site_fract_y
_atom_site_fract_z
Li1 Li 0.0000 0.0000 0.0000
Sm1 Sm 0.0000 0.0000 0.5000
Y1 Y 0.0000 0.0000 0.0881
```

Calculated values
- DFT formation energy: 198.4 meV per atom
- Spin magnetization: 0.00 μB/cell
- Total DFT energy (no corrections): -56.3 eV for the cell shown

---

A plane-wave DFT calculation with PBE-GGA was carried out for a relaxed structure of TiBe3.

Geometry as CIF:
```
data_TiBe3
_cell_length_a 5.467
_cell_length_b 5.467
_cell_length_c 5.467
_cell_angle_alpha 90.00
_cell_angle_beta 90.00
_cell_angle_gamma 90.00
_space_group_name_H-M_alt 'F m -3 m'
_space_group_IT_number 225
_space_group_name_Hall '-F 4 2 3'
loop_
_atom_site_label
_atom_site_type_symbol
_atom_site_fract_x
_atom_site_fract_y
_atom_site_fract_z
Ti1 Ti 0.000 0.000 0.000
Be1 Be 0.000 0.000 0.500
Be2 Be 0.250 0.250 0.250
```

Calculated values
- DFT formation energy: -43.2 meV per atom
- Spin magnetization: 0.00 μB/cell
- Total DFT energy (no corrections): -77.0 eV for the cell shown

---

A plane-wave DFT calculation with PBE-GGA was carried out for a relaxed structure of Al2SiPbW.

Geometry as CIF:
```
data_Al2SiPbW
_cell_length_a 4.683
_cell_length_b 4.683
_cell_length_c 5.357
_cell_angle_alpha 90.00
_cell_angle_beta 90.00
_cell_angle_gamma 90.00
_space_group_name_H-M_alt 'P 4/m m m'
_space_group_IT_number 123
_space_group_name_Hall '-P 4 2'
loop_
_atom_site_label
_atom_site_type_symbol
_atom_site_fract_x
_atom_site_fract_y
_atom_site_fract_z
Al1 Al 0.000 0.500 0.000
Si1 Si 0.000 0.000 0.000
Pb1 Pb 0.000 0.000 0.500
W1 W 0.500 0.500 0.500
```

Calculated values
- Spin magnetization: 2.92 μB/cell
- Total DFT energy (no corrections): -22.4 eV for the cell shown
- Formation energy (no corrections): 1436 meV/atom

---

A plane-wave DFT calculation with PBE-GGA was carried out for a relaxed structure of K2HoGaCl6.

Geometry as CIF:
```
data_K2HoGaCl6
_cell_length_a 7.6077
_cell_length_b 7.6077
_cell_length_c 19.4564
_cell_angle_alpha 90.00
_cell_angle_beta 90.00
_cell_angle_gamma 120.00
_space_group_name_H-M_alt 'R 3'
_space_group_IT_number 146
_space_group_name_Hall 'R 3'
loop_
_atom_site_label
_atom_site_type_symbol
_atom_site_fract_x
_atom_site_fract_y
_atom_site_fract_z
K1 K 0.0000 0.0000 0.0000
K2 K 0.0000 0.0000 0.4915
Ho1 Ho 0.0000 0.0000 0.7853
Ga1 Ga 0.0000 0.0000 0.2763
Cl1 Cl 0.0365 0.6215 0.5360
Cl2 Cl 0.0759 0.3509 0.3794
```

Calculated values
- Spin magnetization: 0.00 μB/cell
- Total DFT energy (no corrections): -118.7 eV for the cell shown
- Formation energy (no corrections): -1868 meV/atom

---

A plane-wave DFT calculation with PBE-GGA was carried out for a relaxed structure of YRu2Au.

Geometry as CIF:
```
data_YRu2Au
_cell_length_a 4.117
_cell_length_b 4.117
_cell_length_c 8.513
_cell_angle_alpha 90.00
_cell_angle_beta 90.00
_cell_angle_gamma 90.00
_space_group_name_H-M_alt 'I 4/m m m'
_space_group_IT_number 139
_space_group_name_Hall '-I 4 2'
loop_
_atom_site_label
_atom_site_type_symbol
_atom_site_fract_x
_atom_site_fract_y
_atom_site_fract_z
Y1 Y 0.000 0.000 0.000
Ru1 Ru 0.000 0.500 0.250
Au1 Au 0.000 0.000 0.500
```

Calculated values
- DFT formation energy: 115.2 meV per atom
- Spin magnetization: 4.46 μB/cell
- Total DFT energy (no corrections): -55.7 eV for the cell shown

---

A plane-wave DFT calculation with PBE-GGA was carried out for a relaxed structure of Pu2H6RuRh.

Geometry as CIF:
```
data_Pu2H6RuRh
_cell_length_a 5.1825
_cell_length_b 5.1825
_cell_length_c 26.3333
_cell_angle_alpha 90.00
_cell_angle_beta 90.00
_cell_angle_gamma 120.00
_space_group_name_H-M_alt 'R -3 m'
_space_group_IT_number 166
_space_group_name_Hall '-R 3 2"'
loop_
_atom_site_label
_atom_site_type_symbol
_atom_site_fract_x
_atom_site_fract_y
_atom_site_fract_z
Pu1 Pu 0.0000 0.0000 0.1275
Pu2 Pu 0.0000 0.0000 0.2828
H1 H 0.0040 0.5020 0.8686
H2 H 0.0603 0.5302 0.7154
Ru1 Ru 0.0000 0.0000 0.0000
Ru2 Ru 0.0000 0.0000 0.5000
Rh1 Rh 0.0000 0.0000 0.3868
```

Calculated values
- Spin magnetization: 2.44 μB/cell
- Total DFT energy (no corrections): -408.0 eV for the cell shown

---

Q: spin magnetization of number 5 (YRu2Au)?
A: 4.46 μB/cell